Density functional theory data (PBE-GGA) for Tl2CuTcBr6 after structural relaxation.

Unit cell a=10.468 b=10.468 c=10.468 alpha=90.00 beta=90.00 gamma=90.00
Space group Fm-3m (No. 225)
Symmetry-distinct sites (fractional):
Tl 0.250 0.250 0.250 (multiplicity 8)
Cu 0.000 0.000 0.000 (multiplicity 4)
Tc 0.000 0.000 0.500 (multiplicity 4)
Br 0.000 0.000 0.253 (multiplicity 24)

Summary:
**Final energy**: -3.32 eV/atom
**Spin magnetization**: 2.87 μB per formula unit